Here is a relaxed Te2OsBr crystal from Alexandria via LeMat-Bulk. Energies are from PBE.

Energy above the most stable polymorph in this dataset ... 2.49 eV per formula unit
Uncorrected formation energy ... 663 meV/atom

abc: 3.101 3.101 37.332
angles: 90.00 90.00 120.00
Atoms (fractional coordinates):
Te (0.000, 0.000, 0.069)
Te (0.000, 0.000, 0.931)
Te (0.333, 0.667, 0.598)
Te (0.333, 0.667, 0.735)
Te (0.667, 0.333, 0.265)
Te (0.667, 0.333, 0.402)
Os (0.000, 0.000, 0.000)
Os (0.333, 0.667, 0.667)
Os (0.667, 0.333, 0.333)
Br (0.000, 0.000, 0.500)
Br (0.333, 0.667, 0.167)
Br (0.667, 0.333, 0.833)

=====

Here is a relaxed Te2Os2Br crystal from Alexandria via LeMat-Bulk. Energies are from PBE.

Energy above the most stable polymorph in this dataset ... 0.00 eV per formula unit
Uncorrected formation energy ... 163 meV/atom

abc: 3.930 3.930 15.935
angles: 90.00 90.00 90.00
Atoms (fractional coordinates):
Te (0.000, 0.000, 0.138)
Te (0.000, 0.000, 0.862)
Te (0.500, 0.500, 0.362)
Te (0.500, 0.500, 0.638)
Os (0.000, 0.500, 0.250)
Os (0.000, 0.500, 0.750)
Os (0.500, 0.000, 0.250)
Os (0.500, 0.000, 0.750)
Br (0.000, 0.000, 0.500)
Br (0.500, 0.500, 0.000)

=====

Here is a relaxed TeOsBr crystal from Alexandria via LeMat-Bulk. Energies are from PBE.

Uncorrected formation energy ... 606 meV/atom

abc: 6.454 6.454 6.454
angles: 90.00 90.00 90.00
Atoms (fractional coordinates):
Te (0.000, 0.000, 0.000)
Te (0.000, 0.500, 0.500)
Te (0.500, 0.000, 0.500)
Te (0.500, 0.500, 0.000)
Os (0.250, 0.250, 0.750)
Os (0.250, 0.750, 0.250)
Os (0.750, 0.250, 0.250)
Os (0.750, 0.750, 0.750)
Br (0.000, 0.000, 0.500)
Br (0.000, 0.500, 0.000)
Br (0.500, 0.000, 0.000)
Br (0.500, 0.500, 0.500)

=====

Here is a relaxed Th2OsBr crystal from Alexandria via LeMat-Bulk. Energies are from PBE.

Energy above the most stable polymorph in this dataset ... 0.92 eV per formula unit
Uncorrected formation energy ... -582 meV/atom

abc: 3.408 3.408 8.464
angles: 90.00 90.00 90.00
Atoms (fractional coordinates):
Th (0.000, 0.000, 0.221)
Th (0.000, 0.000, 0.779)
Os (0.500, 0.500, 0.000)
Br (0.500, 0.500, 0.500)

=====

Here is a relaxed Th2OsBr crystal from Alexandria via LeMat-Bulk. Energies are from PBE.

Energy above the most stable polymorph in this dataset ... 0.00 eV per formula unit
Uncorrected formation energy ... -812 meV/atom

abc: 4.201 4.201 23.593
angles: 90.00 90.00 120.00
Atoms (fractional coordinates):
Th (0.000, 0.000, 0.228)
Th (0.000, 0.000, 0.772)
Th (0.333, 0.667, 0.438)
Th (0.333, 0.667, 0.895)
Th (0.667, 0.333, 0.105)
Th (0.667, 0.333, 0.562)
Os (0.000, 0.000, 0.500)
Os (0.333, 0.667, 0.167)
Os (0.667, 0.333, 0.833)
Br (0.000, 0.000, 0.000)
Br (0.333, 0.667, 0.667)
Br (0.667, 0.333, 0.333)

=====

Here is a relaxed Th2OsBr crystal from Alexandria via LeMat-Bulk. Energies are from PBE.

Energy above the most stable polymorph in this dataset ... 0.11 eV per formula unit
Uncorrected formation energy ... -784 meV/atom

abc: 4.181 4.181 24.065
angles: 90.00 90.00 120.00
Atoms (fractional coordinates):
Th (0.000, 0.000, 0.000)
Th (0.000, 0.000, 0.212)
Th (0.333, 0.667, 0.667)
Th (0.333, 0.667, 0.878)
Th (0.667, 0.333, 0.333)
Th (0.667, 0.333, 0.545)
Os (0.000, 0.000, 0.606)
Os (0.333, 0.667, 0.272)
Os (0.667, 0.333, 0.939)
Br (0.000, 0.000, 0.434)
Br (0.333, 0.667, 0.101)
Br (0.667, 0.333, 0.768)